An optimized crystal structure of BaAl3Zn. Source: the Alexandria database, functional PBE.

**Energy of formation**: 0.181 eV per atom
**Crystal system**: cubic
**Space group**: Pm-3m

Unit cell a=5.0415 b=5.0415 c=5.0415 alpha=90.00 beta=90.00 gamma=90.00
Fractional coordinates of all 5 atoms:
1 Zn 0.0000 0.0000 0.0000
2 Ba 0.5000 0.5000 0.5000
3 Al 0.0000 0.5000 0.0000
4 Al 0.0000 0.0000 0.5000
5 Al 0.5000 0.0000 0.0000

=====

An optimized crystal structure of Ba2CoSnTe. Source: the Alexandria database, functional PBE.

**Crystal system**: tetragonal
**Space group**: P4/mmm
**Formation energy without anion corrections**: -0.59 eV per atom

Unit cell a=5.9440 b=5.9440 c=4.8207 alpha=90.00 beta=90.00 gamma=90.00
Fractional coordinates of all 5 atoms:
1 Te 0.5000 0.5000 0.5000
2 Co 0.0000 0.0000 0.0000
3 Ba 0.0000 0.5000 0.0000
4 Ba 0.5000 0.0000 0.0000
5 Sn 0.0000 0.0000 0.5000

=====

An optimized crystal structure of Tl2CuHgBr5. Source: the Alexandria database, functional PBE.

**Crystal system**: orthorhombic
**Space group**: Cmc2_1
**Formation energy without anion corrections**: -0.58 eV per atom

Unit cell a=4.3186 b=9.9882 c=14.0109 alpha=90.00 beta=90.00 gamma=102.49
Fractional coordinates of all 18 atoms:
1 Tl 0.8732 0.7464 0.8287
2 Tl 0.1207 0.2414 0.7092
3 Tl 0.1268 0.2536 0.3287
4 Tl 0.8793 0.7586 0.2092
5 Cu 0.5672 0.1345 0.9109
6 Cu 0.4328 0.8655 0.4109
7 Hg 0.7915 0.5831 0.5305
8 Hg 0.2085 0.4169 0.0305
9 Br 0.3476 0.6951 0.0201
10 Br 0.6957 0.3913 0.8778
11 Br 0.4959 0.9918 0.7730
12 Br 0.2960 0.5920 0.6693
13 Br 0.9332 0.8664 0.5045
14 Br 0.6524 0.3049 0.5201
15 Br 0.3043 0.6087 0.3778
16 Br 0.5041 0.0082 0.2730
17 Br 0.7040 0.4080 0.1693
18 Br 0.0668 0.1336 0.0045